Record 1
## La2PrNd3 (PBE)

Data for a relaxed La2PrNd3 crystal.

Geometry as POSCAR:
```
La2PrNd3
1.0
-5.784 6.057 3.539
5.784 -6.057 3.539
5.784 6.057 -3.539
La Pr Nd
4 2 6
Direct
0.212 0.245 0.457
0.288 0.745 0.033
0.712 0.255 0.967
0.788 0.755 0.543
0.000 0.500 0.500
0.500 0.000 0.500
0.013 0.750 0.263
0.250 0.250 0.000
0.487 0.750 0.737
0.513 0.250 0.263
0.750 0.750 0.000
0.987 0.250 0.737
```

Results
ΔE_f   0.483 eV per atom
Fermi-level density of states   1.694 states/eV per atom
Space-group type   No. 72

***

Record 2
## LaPr7Nd12 (PBE)

Data for a relaxed LaPr7Nd12 crystal.

Geometry as POSCAR:
```
LaPr7Nd12
1.0
-5.872 5.872 5.872
5.872 -5.872 5.872
5.872 5.872 -5.872
La Pr Nd
1 7 12
Direct
0.000 0.000 0.000
0.000 0.000 0.500
0.000 0.500 0.000
0.000 0.500 0.500
0.500 0.000 0.000
0.500 0.000 0.500
0.500 0.500 0.000
0.500 0.500 0.500
0.000 0.251 0.749
0.000 0.749 0.251
0.251 0.000 0.749
0.251 0.251 0.503
0.251 0.503 0.251
0.251 0.749 0.000
0.497 0.749 0.749
0.503 0.251 0.251
0.749 0.000 0.251
0.749 0.251 0.000
0.749 0.497 0.749
0.749 0.749 0.497
```

Results
ΔE_f   0.570 eV per atom
Fermi-level density of states   1.519 states/eV per atom
Space-group type   No. 229

***

Which of these has the highest ΔE_f?
LaPr7Nd12